[1]
Here is an optimized crystal structure of GdGaSiIr2 from OQMD via LeMat-Bulk. Energies are from PBE-GGA.

a b c (Å): 4.1563 4.1563 10.0935
angles (deg): 90.00 90.00 90.00
Last column: nearest neighbours and their distance in Å.
Space group I4mm (No. 107)
Symmetry-distinct sites (fractional):
1 Gd 0.0000 0.0000 0.0000 [2 per cell]  4 Ga 3.17, 8 Ir 3.21-3.33, 4 Si 3.21
2 Ga 0.0000 0.0000 0.3829 [2 per cell]  1 Si 2.48, 4 Ir 2.51
3 Si 0.0000 0.0000 0.6289 [2 per cell]  4 Ir 2.37, 1 Ga 2.48
4 Ir 0.0000 0.5000 0.2426 [4 per cell]  2 Si 2.37, 2 Ga 2.51

Results
ρ in g/cm³: 12.181

***

[2]
Here is an optimized crystal structure of DyPbNO from OQMD via LeMat-Bulk. Energies are from PBE-GGA.

a b c (Å): 5.7695 8.3269 5.7212
angles (deg): 90.00 90.00 90.00
Last column: nearest neighbours and their distance in Å.
Space group Pca2_1 (No. 29)
Symmetry-distinct sites (fractional):
1 Dy 0.0055 0.1195 0.0000 [4 per cell]  4 O 2.25-2.28, 1 N 2.27
2 Pb 0.0182 0.6324 0.9971 [4 per cell]  3 N 2.25-2.39
3 N 0.0827 0.6219 0.5855 [4 per cell]  3 Pb 2.25-2.39, 1 Dy 2.27
4 O 0.2474 0.9938 0.2481 [4 per cell]  4 Dy 2.25-2.28

Results
ρ in g/cm³: 9.659

***

For reference, total magnetization by record: 0.001; 0.000 μB/atom.
For reference, energy above the lowest structure with this stoichiometry by record: 25; 0 meV per atom.